# 1
LaZnOs | GGA-PBE | relaxed

Summary:
**Total energy**: -5.30 eV/atom
**ΔE_f**: 0.513 eV per atom
**Space-group type**: P3m1
**Density**: 11.37 Mg/m³

a b c (Å): 2.9658 2.9658 7.5622
angles (deg): 90.00 90.00 120.00
Closest atoms and distances in Å follow each position.
Positions (direct):
1 La 0.0000 0.0000 0.0000  6 La 2.97, 3 Os 3.16
2 Zn 0.6667 0.3333 0.6226  3 Os 2.67, 6 Zn 2.97
3 Os 0.3333 0.6667 0.3511  3 Zn 2.67, 6 Os 2.97

***

# 2
La4ZnOs | GGA-PBE | relaxed

Summary:
**Distance to the lowest polymorph of the same formula**: 1.050 eV per atom
**Total energy**: -4.52 eV/atom
**ΔE_f**: 0.844 eV per atom
**Space-group type**: F-43m
**Density**: 8.07 Mg/m³

a b c (Å): 6.1816 6.1816 6.1816
angles (deg): 60.00 60.00 60.00
Closest atoms and distances in Å follow each position.
Positions (direct):
1 La 0.1234 0.1234 0.1234  6 La 3.05-3.13
2 La 0.1234 0.1234 0.6298  6 La 3.05-3.13
3 La 0.1234 0.6298 0.1234  6 La 3.05-3.13
4 La 0.6298 0.1234 0.1234  6 La 3.05-3.13
5 Zn 0.5000 0.5000 0.5000  12 La 3.63, 4 Os 3.79
6 Os 0.7500 0.7500 0.7500  12 La 3.62, 4 Zn 3.79

***

# 3
La8Zn2Os | GGA-PBE | relaxed

Summary:
**Distance to the lowest polymorph of the same formula**: 0.000 eV per atom
**Total energy**: -4.96 eV/atom
**ΔE_f**: -0.126 eV per atom
**Space-group type**: C2/m
**Density**: 7.07 Mg/m³

a b c (Å): 9.5906 9.5906 7.0532
angles (deg): 100.31 100.31 31.84
Closest atoms and distances in Å follow each position.
Positions (direct):
1 La 0.0249 0.0249 0.2904  2 Os 3.09, 1 Zn 3.19, 1 La 3.26
2 La 0.2029 0.2029 0.8098  3 Zn 3.05-3.31
3 La 0.3457 0.3457 0.5435  1 Os 2.92, 3 Zn 3.20-3.22
4 La 0.4104 0.4104 0.0693  1 Os 3.18, 2 La 3.55
5 La 0.5896 0.5896 0.9307  1 Os 3.18, 2 La 3.55
6 La 0.6543 0.6543 0.4565  1 Os 2.92, 3 Zn 3.20-3.22
7 La 0.7971 0.7971 0.1902  3 Zn 3.05-3.31
8 La 0.9751 0.9751 0.7096  2 Os 3.09, 1 Zn 3.19, 1 La 3.26
9 Zn 0.1927 0.1927 0.2362  7 La 3.05-3.31
10 Zn 0.8073 0.8073 0.7638  7 La 3.05-3.31
11 Os 0.5000 0.5000 0.5000  8 La 2.92-3.18

***

# 4
La6Zn5Os | GGA-PBE | relaxed

Summary:
**Total energy**: -4.21 eV/atom
**ΔE_f**: -0.277 eV per atom
**Space-group type**: Immm
**Density**: 7.20 Mg/m³

a b c (Å): 9.1226 9.1226 9.1226
angles (deg): 146.45 131.49 60.28
Closest atoms and distances in Å follow each position.
Positions (direct):
1 La 0.0813 0.3434 0.7379  1 Os 3.05, 7 Zn 3.16-3.29
2 La 0.2329 0.0000 0.2329  2 Os 3.16, 6 Zn 3.31-3.37, 1 La 3.49
3 La 0.3945 0.6566 0.7379  1 Os 3.05, 7 Zn 3.16-3.29
4 La 0.6055 0.3434 0.2621  1 Os 3.05, 7 Zn 3.16-3.29
5 La 0.7671 0.0000 0.7671  2 Os 3.16, 6 Zn 3.31-3.37, 1 La 3.49
6 La 0.9187 0.6566 0.2621  1 Os 3.05, 7 Zn 3.16-3.29
7 Zn 0.1826 0.1826 0.0000  8 La 3.21-3.37, 2 Zn 3.52
8 Zn 0.3302 0.8302 0.5000  8 La 3.27-3.34, 2 Zn 3.52
9 Zn 0.5000 0.5000 0.0000  8 La 3.16-3.31
10 Zn 0.6698 0.1698 0.5000  8 La 3.27-3.34, 2 Zn 3.52
11 Zn 0.8174 0.8174 0.0000  8 La 3.21-3.37, 2 Zn 3.52
12 Os 0.0000 0.5000 0.5000  8 La 3.05-3.16